Record 1
Below is crystalline Ge2PS at its relaxed geometry, with properties calculated at the PBE level.

abc: 3.757 3.766 6.340
angles: 75.07 75.14 65.62
Fractional coordinates of all 4 atoms:
Ge: 0.000 0.000 0.000
Ge: 0.487 0.491 0.527
P: 0.833 0.654 0.764
S: 0.354 0.134 0.264

- symmetry = P1, No. 1
- formation energy (no corrections) (eV per atom) = -0.025
- offset from the most stable computed form (meV per atom) = 0

Record 2
Below is crystalline Ge2PS at its relaxed geometry, with properties calculated at the PBE level.

abc: 4.602 4.602 4.602
angles: 60.00 60.00 60.00
Fractional coordinates of all 4 atoms:
Ge: 0.250 0.250 0.250
Ge: 0.750 0.750 0.750
P: 0.000 0.000 0.000
S: 0.500 0.500 0.500

- symmetry = Fm-3m, No. 225
- formation energy (no corrections) (eV per atom) = 0.379
- offset from the most stable computed form (meV per atom) = 404

Record 3
Below is crystalline Ge2PS6 at its relaxed geometry, with properties calculated at the PBE level.

abc: 9.381 9.381 9.381
angles: 143.42 89.27 102.11
Fractional coordinates of all 18 atoms:
Ge: 0.168 0.072 0.240
Ge: 0.332 0.572 0.904
Ge: 0.668 0.428 0.096
Ge: 0.832 0.928 0.760
P: 0.250 0.250 0.000
P: 0.750 0.750 0.000
S: 0.077 0.923 0.685
S: 0.167 0.686 0.853
S: 0.238 0.392 0.315
S: 0.262 0.577 0.154
S: 0.333 0.186 0.520
S: 0.423 0.108 0.846
S: 0.577 0.892 0.154
S: 0.667 0.814 0.480
S: 0.738 0.423 0.846
S: 0.762 0.608 0.685
S: 0.833 0.314 0.147
S: 0.923 0.077 0.315

- symmetry = Ibam, No. 72
- formation energy (no corrections) (eV per atom) = -0.155

| no. | total magnetic moment (μB/f.u.) |
| --- | --- |
| 1 | 0.00 |
| 2 | 0.00 |
| 3 | 0.00 |